## CaAc4Cu3O12 (GGA-PBE)

Data for CaAc4Cu3O12 after structural relaxation.

Cell lengths 8.0258, 8.0258, 8.0258 Å; angles 90.00, 90.00, 90.00 degrees
Last column: nearest neighbours and their distance in Å.
Space group Im-3m (No. 229)
One atom of each set of equivalent atoms:
Ca: 0.0000 0.0000 0.0000 [2 per cell]  6 O 2.16
Ac: 0.2500 0.2500 0.2500 [8 per cell]  12 O 2.84
Cu: 0.0000 0.0000 0.5000 [6 per cell]  6 O 1.85-2.01
O: 0.0000 0.0000 0.2690 [12 per cell]  1 Cu 1.85
O: 0.0000 0.2500 0.5000 [12 per cell]  2 Cu 2.01

Output
The energy relative to the elements, uncorrected comes out at -2158 meV per atom. As for the total energy: -266.8 eV for the cell shown. Its magnetization is 0.0 Bohr magnetons per cell. The value obtained for the volume is 12.92 Å³/atom.


## HoB5Ir6 (GGA-PBE)

Data for HoB5Ir6 after structural relaxation.

Cell lengths 5.8540, 9.4050, 6.3535 Å; angles 90.00, 116.99, 90.00 degrees
Last column: nearest neighbours and their distance in Å.
Space group C2/m (No. 12)
One atom of each set of equivalent atoms:
Ho: 0.0000 0.0000 0.0000 [2 per cell]  8 B 3.01-3.30, 12 Ir 3.07-3.32
B: 0.0000 0.0946 0.5000 [4 per cell]  1 B 1.78
B: 0.0000 0.3196 0.0000 [4 per cell]  6 Ir 2.14-2.25
B: 0.0000 0.5000 0.5000 [2 per cell]  2 Ir 2.02
Ir: 0.1269 0.2556 0.7475 [8 per cell]  3 B 2.06-2.16
Ir: 0.1373 0.5000 0.2596 [4 per cell]  5 B 2.02-2.25

Output
The value obtained for the formation energy is -10.26 kcal/mol of atoms. As for the total energy: -192.9 eV for the cell shown. Its magnetization is 0.0 Bohr magnetons per cell. The value obtained for the volume is 12.99 Å³/atom.


## Sn2IrRu2 (GGA-PBE)

Data for Sn2IrRu2 after structural relaxation.

Cell lengths 7.3425, 7.3425, 3.2018 Å; angles 90.00, 90.00, 90.00 degrees
Last column: nearest neighbours and their distance in Å.
Space group P4/mbm (No. 127)
One atom of each set of equivalent atoms:
Sn: 0.1707 0.3293 0.0000 [4 per cell]  6 Ru 2.61-2.75
Ir: 0.0000 0.0000 0.5000 [2 per cell]  4 Ru 2.88, 8 Sn 3.16, 2 Ir 3.20
Ru: 0.1304 0.6304 0.5000 [4 per cell]  6 Sn 2.61-2.75, 1 Ru 2.71, 2 Ir 2.88

Output
The value obtained for the formation energy is 5.89 kcal/mol of atoms. As for the total energy: -68.3 eV for the cell shown. Its magnetization is 0.0 Bohr magnetons per cell. The value obtained for the volume is 17.26 Å³/atom.


## TaNi2SnBr (GGA-PBE)

Data for TaNi2SnBr after structural relaxation.

Cell lengths 4.3822, 4.3822, 4.9247 Å; angles 90.00, 90.00, 90.00 degrees
Last column: nearest neighbours and their distance in Å.
Space group P4/mmm (No. 123)
One atom of each set of equivalent atoms:
Ta: 0.0000 0.0000 0.0000 [1 per cell]  2 Br 2.46
Ni: 0.0000 0.5000 0.5000 [2 per cell]  2 Br 2.19
Sn: 0.5000 0.5000 0.0000 [1 per cell]  4 Ta 3.10, 8 Ni 3.30
Br: 0.0000 0.0000 0.5000 [1 per cell]  4 Ni 2.19

Output
The energy relative to the elements, uncorrected comes out at 918 meV per atom. As for the total energy: -24.5 eV for the cell shown. Its magnetization is 0.0 Bohr magnetons per cell. The value obtained for the volume is 18.91 Å³/atom.


## Dy2HoSb3 (GGA-PBE)

Data for Dy2HoSb3 after structural relaxation.

Cell lengths 4.3788, 6.1878, 13.1365 Å; angles 90.00, 90.00, 90.00 degrees
Last column: nearest neighbours and their distance in Å.
Space group Immm (No. 71)
One atom of each set of equivalent atoms:
Dy: 0.0000 0.0000 0.1669 [4 per cell]  6 Sb 3.09-3.10
Ho: 0.0000 0.0000 0.5000 [2 per cell]  6 Sb 3.09
Sb: 0.0000 0.5000 0.1660 [4 per cell]  2 Ho 3.09, 4 Dy 3.09-3.10
Sb: 0.0000 0.5000 0.5000 [2 per cell]  2 Ho 3.09, 4 Dy 3.10

Output
The energy relative to the elements, uncorrected comes out at -1126 meV per atom. As for the total energy: -65.8 eV for the cell shown. Its magnetization is 0.0 Bohr magnetons per cell. The value obtained for the volume is 29.66 Å³/atom.


## Al2CoSb (GGA-PBE)

Data for Al2CoSb after structural relaxation.

Cell lengths 3.6867, 3.9028, 5.0933 Å; angles 90.00, 111.04, 90.00 degrees
Last column: nearest neighbours and their distance in Å.
Space group Pm (No. 6)
One atom of each set of equivalent atoms:
Al: 0.0000 0.0000 0.0000 [1 per cell]  2 Co 2.38, 1 Sb 2.66
Al: 0.4328 0.5000 0.8659 [1 per cell]  3 Co 2.71-2.76, 4 Al 2.76
Co: 0.1418 0.5000 0.2853 [1 per cell]  2 Al 2.38
Sb: 0.7194 0.0000 0.4408 [1 per cell]  3 Al 2.66-2.79, 4 Co 2.78-2.79

Output
The energy relative to the elements, uncorrected comes out at -4 meV per atom. As for the total energy: -18.7 eV for the cell shown. Its magnetization is 0.0 Bohr magnetons per cell. The value obtained for the volume is 17.10 Å³/atom.


## Si2AsP (GGA-PBE)

Data for Si2AsP after structural relaxation.

Cell lengths 3.0930, 3.0930, 6.5360 Å; angles 90.00, 90.00, 90.00 degrees
Last column: nearest neighbours and their distance in Å.
Space group P4/mmm (No. 123)
One atom of each set of equivalent atoms:
Si: 0.0000 0.0000 0.2181 [2 per cell]  4 P 2.61, 1 Si 2.85, 4 As 2.86
As: 0.5000 0.5000 0.5000 [1 per cell]  8 Si 2.86, 4 As 3.09
P: 0.5000 0.5000 0.0000 [1 per cell]  8 Si 2.61

Output
As for the energy above the most stable polymorph in this dataset: 1.69 eV per formula unit. The energy relative to the elements, uncorrected comes out at 497 meV per atom. As for the total energy: -18.9 eV for the cell shown. Its magnetization is 0.0 Bohr magnetons per cell. The value obtained for the volume is 15.63 Å³/atom.


## Er2HgP (GGA-PBE)

Data for Er2HgP after structural relaxation.

Cell lengths 3.8565, 3.8565, 23.1107 Å; angles 90.00, 90.00, 120.00 degrees
Last column: nearest neighbours and their distance in Å.
Space group R-3m (No. 166, hexagonal axes)
One atom of each set of equivalent atoms:
Er: 0.0000 0.0000 0.2358 [6 per cell]  3 P 2.74
Hg: 0.0000 0.0000 0.0000 [3 per cell]  6 Er 3.17
P: 0.0000 0.0000 0.5000 [3 per cell]  6 Er 2.74

Output
As for the energy above the most stable polymorph in this dataset: 0.00 eV per formula unit. The value obtained for the formation energy is -22.78 kcal/mol of atoms. As for the total energy: -56.4 eV for the cell shown. Its magnetization is 0.0 Bohr magnetons per cell. The value obtained for the volume is 24.81 Å³/atom.


## BeVCl2 (GGA-PBE)

Data for BeVCl2 after structural relaxation.

Cell lengths 3.1987, 3.1987, 22.7238 Å; angles 90.00, 90.00, 120.00 degrees
Last column: nearest neighbours and their distance in Å.
Space group R-3m (No. 166, hexagonal axes)
One atom of each set of equivalent atoms:
Be: 0.0000 0.0000 0.0000 [3 per cell]  6 Cl 2.24
V: 0.0000 0.0000 0.5000 [3 per cell]  2 Cl 2.51
Cl: 0.0000 0.0000 0.3893 [6 per cell]  3 Be 2.24

Output
As for the energy above the most stable polymorph in this dataset: 0.00 eV per formula unit. The energy relative to the elements, uncorrected comes out at -74 meV per atom. As for the total energy: -50.5 eV for the cell shown. Its magnetization is 10.1 Bohr magnetons per cell. The value obtained for the volume is 16.78 Å³/atom.


## Be2Re2Tc (GGA-PBE)

Data for Be2Re2Tc after structural relaxation.

Cell lengths 6.1973, 6.1973, 3.0618 Å; angles 90.00, 90.00, 90.00 degrees
Last column: nearest neighbours and their distance in Å.
Space group P4/mbm (No. 127)
One atom of each set of equivalent atoms:
Be: 0.1219 0.3781 0.0000 [4 per cell]  1 Be 2.14, 6 Re 2.38-2.39
Re: 0.1696 0.6696 0.5000 [4 per cell]  6 Be 2.38-2.39
Tc: 0.0000 0.0000 0.0000 [2 per cell]  4 Be 2.46

Output
The value obtained for the formation energy is -3.34 kcal/mol of atoms. As for the total energy: -86.9 eV for the cell shown. Its magnetization is 0.0 Bohr magnetons per cell. The value obtained for the volume is 11.76 Å³/atom.


## SnGeAs2Br (GGA-PBE)

Data for SnGeAs2Br after structural relaxation.

Cell lengths 5.0290, 5.0290, 5.2704 Å; angles 90.00, 90.00, 90.00 degrees
Last column: nearest neighbours and their distance in Å.
Space group P4/mmm (No. 123)
One atom of each set of equivalent atoms:
Sn: 0.0000 0.0000 0.0000 [1 per cell]  4 Br 3.56, 8 As 3.64
Ge: 0.5000 0.5000 0.5000 [1 per cell]  4 As 2.51, 2 Br 2.64
As: 0.0000 0.5000 0.5000 [2 per cell]  2 Ge 2.51
Br: 0.5000 0.5000 0.0000 [1 per cell]  2 Ge 2.64

Output
As for the energy above the most stable polymorph in this dataset: 0.00 eV per formula unit. The energy relative to the elements, uncorrected comes out at 417 meV per atom. As for the total energy: -17.5 eV for the cell shown. Its magnetization is 0.0 Bohr magnetons per cell. The value obtained for the volume is 26.66 Å³/atom.


## NaSr3GdP3O12F (GGA-PBE)

Data for NaSr3GdP3O12F after structural relaxation.

Cell lengths 9.6729, 9.6729, 7.1992 Å; angles 90.00, 90.00, 120.00 degrees
Last column: nearest neighbours and their distance in Å.
Space group P-3 (No. 147)
One atom of each set of equivalent atoms:
Na: 0.3333 0.6667 0.0230 [2 per cell]  6 O 2.46-2.54
Sr: 0.0189 0.7609 0.2399 [6 per cell]  1 F 2.43, 4 O 2.50-2.62
Gd: 0.3333 0.6667 0.5240 [2 per cell]  9 O 2.42-2.56
P: 0.0301 0.6249 0.7397 [6 per cell]  4 O 1.55-1.57
O: 0.0448 0.7412 0.8962 [6 per cell]  1 P 1.55
O: 0.1056 0.7270 0.5604 [6 per cell]  1 P 1.57
O: 0.1303 0.5424 0.7774 [6 per cell]  1 P 1.56
O: 0.1493 0.5012 0.2848 [6 per cell]  1 P 1.55
F: 0.0000 0.0000 0.2852 [2 per cell]  3 Sr 2.43

Output
The energy relative to the elements, uncorrected comes out at -2942 meV per atom. As for the total energy: -319.6 eV for the cell shown. Its magnetization is 13.8 Bohr magnetons per cell. The value obtained for the volume is 13.89 Å³/atom.


## Pa2CrGe2 (GGA-PBE)

Data for Pa2CrGe2 after structural relaxation.

Cell lengths 10.9622, 3.8017, 10.9348 Å; angles 90.00, 116.55, 90.00 degrees
Last column: nearest neighbours and their distance in Å.
Space group C2/m (No. 12)
One atom of each set of equivalent atoms:
Pa: 0.0849 0.0000 0.3636 [4 per cell]  2 Cr 2.83, 7 Ge 3.06-3.12
Pa: 0.2109 0.0000 0.1048 [4 per cell]  2 Cr 2.69, 2 Ge 2.95-2.99
Cr: 0.2285 0.5000 0.2859 [4 per cell]  3 Ge 2.45-2.47, 2 Pa 2.69
Ge: 0.0110 0.5000 0.8837 [4 per cell]  1 Cr 2.45, 1 Ge 2.66
Ge: 0.1202 0.5000 0.5959 [4 per cell]  2 Cr 2.47, 1 Ge 2.53

Output
The value obtained for the formation energy is -6.66 kcal/mol of atoms. As for the total energy: -157.2 eV for the cell shown. Its magnetization is 0.0 Bohr magnetons per cell. The value obtained for the volume is 20.38 Å³/atom.


## AgAs2Pt (GGA-PBE)

Data for AgAs2Pt after structural relaxation.

Cell lengths 5.6239, 5.6239, 12.1139 Å; angles 90.00, 90.00, 90.00 degrees
Last column: nearest neighbours and their distance in Å.
Space group I-42d (No. 122)
One atom of each set of equivalent atoms:
Ag: 0.0000 0.0000 0.0000 [4 per cell]  4 As 2.59
As: 0.2214 0.2500 0.6250 [8 per cell]  2 Pt 2.41, 2 Ag 2.59
Pt: 0.0000 0.0000 0.5000 [4 per cell]  4 As 2.41

Output
As for the energy above the most stable polymorph in this dataset: 0.69 eV per formula unit. The value obtained for the formation energy is 2.66 kcal/mol of atoms. As for the total energy: -70.9 eV for the cell shown. Its magnetization is 0.0 Bohr magnetons per cell. The value obtained for the volume is 23.95 Å³/atom.


## Sm2DyP (GGA-PBE)

Data for Sm2DyP after structural relaxation.

Cell lengths 3.8556, 3.8556, 28.5508 Å; angles 90.00, 90.00, 120.00 degrees
Last column: nearest neighbours and their distance in Å.
Space group R-3m (No. 166, hexagonal axes)
One atom of each set of equivalent atoms:
Sm: 0.0000 0.0000 0.2261 [6 per cell]  3 P 2.80
Dy: 0.0000 0.0000 0.0000 [3 per cell]  6 Sm 3.79, 6 Dy 3.86
P: 0.0000 0.0000 0.5000 [3 per cell]  6 Sm 2.80

Output
The value obtained for the formation energy is -14.77 kcal/mol of atoms. As for the total energy: -66.0 eV for the cell shown. Its magnetization is 0.0 Bohr magnetons per cell. The value obtained for the volume is 30.63 Å³/atom.


## Mg2ReSb (GGA-PBE)

Data for Mg2ReSb after structural relaxation.

Cell lengths 3.4803, 3.4803, 6.2213 Å; angles 90.00, 90.00, 90.00 degrees
Last column: nearest neighbours and their distance in Å.
Space group P4mm (No. 99)
One atom of each set of equivalent atoms:
Mg: 0.0000 0.0000 0.0000 [1 per cell]  4 Mg 2.96, 4 Sb 3.01, 2 Re 3.08-3.15
Mg: 0.5000 0.5000 0.2657 [1 per cell]  1 Sb 2.84, 4 Re 2.88, 4 Mg 2.96
Re: 0.0000 0.0000 0.5057 [1 per cell]  4 Sb 2.81, 5 Mg 2.88-3.08
Sb: 0.5000 0.5000 0.7223 [1 per cell]  4 Re 2.81, 5 Mg 2.84-3.01

Output
The energy relative to the elements, uncorrected comes out at 204 meV per atom. As for the total energy: -18.9 eV for the cell shown. Its magnetization is 0.0 Bohr magnetons per cell. The value obtained for the volume is 18.84 Å³/atom.